# AcZnSi | Alexandria via LeMat-Bulk | PBE-GGA | optimized geometry
data_AcZnSi
_space_group_name_H-M_alt 'P 1'
_space_group_IT_number 1
_cell_length_a 4.297
_cell_length_b 4.297
_cell_length_c 9.216
_cell_angle_alpha 90.00
_cell_angle_beta 90.00
_cell_angle_gamma 120.01
loop_
_space_group_symop_operation_xyz
'x,y,z'
loop_
_atom_site_label
_atom_site_type_symbol
_atom_site_fract_x
_atom_site_fract_y
_atom_site_fract_z
Si1 Si 0.667 0.833 0.750
Zn1 Zn 0.333 0.167 0.750
Zn2 Zn 0.667 0.833 0.250
Si2 Si 0.333 0.167 0.250
Ac1 Ac 0.000 0.500 0.000
Ac2 Ac 0.000 0.500 0.500
# N(E_F)   0.794 states/eV per atom
# Energy   -24.99 eV for the cell shown
# Density   7.22 g cm⁻³
# Space group   P6_3/mmc (194)
# ΔE_f (raw)   -0.56 eV/atom
# Magnetization   0.000 μB/cell

# Ac6ZnSi2 | Alexandria via LeMat-Bulk | PBE-GGA | optimized geometry
data_Ac6ZnSi2
_space_group_name_H-M_alt 'P 1'
_space_group_IT_number 1
_cell_length_a 9.355
_cell_length_b 9.355
_cell_length_c 9.355
_cell_angle_alpha 108.06
_cell_angle_beta 109.06
_cell_angle_gamma 111.31
loop_
_space_group_symop_operation_xyz
'x,y,z'
loop_
_atom_site_label
_atom_site_type_symbol
_atom_site_fract_x
_atom_site_fract_y
_atom_site_fract_z
Ac1 Ac 0.439 0.267 0.172
Ac2 Ac 0.696 0.366 0.670
Ac3 Ac 0.194 0.251 0.445
Ac4 Ac 0.094 0.267 0.828
Ac5 Ac 0.304 0.634 0.330
Ac6 Ac 0.561 0.733 0.828
Ac7 Ac 0.194 0.749 0.943
Ac8 Ac 0.806 0.251 0.057
Zn1 Zn 0.000 0.500 0.500
Ac9 Ac 0.696 0.026 0.330
Si1 Si 0.654 0.000 0.654
Ac10 Ac 0.906 0.733 0.172
Si2 Si 0.500 0.391 0.891
Ac11 Ac 0.806 0.749 0.555
Zn2 Zn 0.000 0.000 0.000
Si3 Si 0.500 0.609 0.109
Ac12 Ac 0.304 0.974 0.670
Si4 Si 0.346 0.000 0.346
# N(E_F)   1.021 states/eV per atom
# Energy   -79.01 eV for the cell shown
# Density   7.82 g cm⁻³
# Space group   Immm (71)
# ΔE_f (raw)   -0.30 eV/atom
# Magnetization   0.000 μB/cell

# Ac12ZnSi5 | Alexandria via LeMat-Bulk | PBE-GGA | optimized geometry
data_Ac12ZnSi5
_space_group_name_H-M_alt 'P 1'
_space_group_IT_number 1
_cell_length_a 9.310
_cell_length_b 9.310
_cell_length_c 9.310
_cell_angle_alpha 107.76
_cell_angle_beta 110.62
_cell_angle_gamma 110.05
loop_
_space_group_symop_operation_xyz
'x,y,z'
loop_
_atom_site_label
_atom_site_type_symbol
_atom_site_fract_x
_atom_site_fract_y
_atom_site_fract_z
Ac1 Ac 0.441 0.175 0.267
Zn1 Zn 0.000 0.500 0.500
Ac2 Ac 0.706 0.677 0.382
Ac3 Ac 0.198 0.959 0.760
Si1 Si 0.500 0.890 0.390
Si2 Si 0.380 0.380 0.000
Ac4 Ac 0.294 0.323 0.618
Ac5 Ac 0.802 0.041 0.240
Si3 Si 0.620 0.620 0.000
Ac6 Ac 0.092 0.825 0.267
Si4 Si 0.500 0.110 0.610
Ac7 Ac 0.294 0.677 0.971
Ac8 Ac 0.706 0.323 0.029
Ac9 Ac 0.802 0.562 0.760
Ac10 Ac 0.908 0.175 0.733
Ac11 Ac 0.559 0.825 0.733
Ac12 Ac 0.198 0.438 0.240
Si5 Si 0.000 0.000 0.000
# N(E_F)   0.876 states/eV per atom
# Energy   -83.57 eV for the cell shown
# Density   7.84 g cm⁻³
# Space group   Immm (71)
# ΔE_f (raw)   -0.33 eV/atom
# Magnetization   0.000 μB/cell

# AcZnSi | Alexandria via LeMat-Bulk | PBE-GGA | optimized geometry
data_AcZnSi
_space_group_name_H-M_alt 'P 1'
_space_group_IT_number 1
_cell_length_a 4.597
_cell_length_b 4.306
_cell_length_c 4.306
_cell_angle_alpha 120.00
_cell_angle_beta 90.00
_cell_angle_gamma 90.00
loop_
_space_group_symop_operation_xyz
'x,y,z'
loop_
_atom_site_label
_atom_site_type_symbol
_atom_site_fract_x
_atom_site_fract_y
_atom_site_fract_z
Zn1 Zn 0.167 0.333 0.667
Si1 Si 0.167 0.000 0.000
Ac1 Ac 0.667 0.667 0.333
# N(E_F)   0.897 states/eV per atom
# Energy   -12.47 eV for the cell shown
# Density   7.21 g cm⁻³
# Space group   P-6m2 (187)
# ΔE_f (raw)   -0.55 eV/atom
# Magnetization   0.228 μB/cell

# Ac3Zn3Si | Alexandria via LeMat-Bulk | PBE-GGA | optimized geometry
data_Ac3Zn3Si
_space_group_name_H-M_alt 'P 1'
_space_group_IT_number 1
_cell_length_a 4.335
_cell_length_b 4.520
_cell_length_c 10.628
_cell_angle_alpha 102.28
_cell_angle_beta 101.77
_cell_angle_gamma 90.00
loop_
_space_group_symop_operation_xyz
'x,y,z'
loop_
_atom_site_label
_atom_site_type_symbol
_atom_site_fract_x
_atom_site_fract_y
_atom_site_fract_z
Ac1 Ac 0.994 0.994 0.988
Si1 Si 0.438 0.438 0.876
Ac2 Ac 0.319 0.819 0.638
Zn1 Zn 0.562 0.562 0.123
Zn2 Zn 0.868 0.368 0.736
Ac3 Ac 0.686 0.186 0.371
Zn3 Zn 0.133 0.633 0.267
# N(E_F)   1.133 states/eV per atom
# Energy   -23.98 eV for the cell shown
# Density   7.55 g cm⁻³
# Space group   Imm2 (44)
# ΔE_f (raw)   -0.34 eV/atom
# Magnetization   0.003 μB/cell

# Ac12ZnSi6 | Alexandria via LeMat-Bulk | PBE-GGA | optimized geometry
data_Ac12ZnSi6
_space_group_name_H-M_alt 'P 1'
_space_group_IT_number 1
_cell_length_a 9.495
_cell_length_b 9.495
_cell_length_c 9.495
_cell_angle_alpha 109.47
_cell_angle_beta 109.47
_cell_angle_gamma 109.47
loop_
_space_group_symop_operation_xyz
'x,y,z'
loop_
_atom_site_label
_atom_site_type_symbol
_atom_site_fract_x
_atom_site_fract_y
_atom_site_fract_z
Zn1 Zn 0.000 0.000 0.000
Ac1 Ac 0.812 0.700 0.512
Ac2 Ac 0.812 0.300 0.112
Ac3 Ac 0.300 0.488 0.188
Ac4 Ac 0.188 0.700 0.888
Si1 Si 0.391 0.500 0.891
Ac5 Ac 0.300 0.112 0.812
Ac6 Ac 0.512 0.812 0.700
Si2 Si 0.891 0.391 0.500
Si3 Si 0.500 0.109 0.609
Si4 Si 0.609 0.500 0.109
Ac7 Ac 0.488 0.188 0.300
Si5 Si 0.109 0.609 0.500
Ac8 Ac 0.700 0.888 0.188
Ac9 Ac 0.700 0.512 0.812
Si6 Si 0.500 0.891 0.391
Ac10 Ac 0.888 0.188 0.700
Ac11 Ac 0.188 0.300 0.488
Ac12 Ac 0.112 0.812 0.300
# N(E_F)   0.647 states/eV per atom
# Energy   -90.19 eV for the cell shown
# Density   7.45 g cm⁻³
# Space group   Im-3 (204)
# ΔE_f (raw)   -0.37 eV/atom
# Magnetization   0.000 μB/cell

# Ac2ZnSi2 | Alexandria via LeMat-Bulk | PBE-GGA | optimized geometry
data_Ac2ZnSi2
_space_group_name_H-M_alt 'P 1'
_space_group_IT_number 1
_cell_length_a 4.420
_cell_length_b 4.305
_cell_length_c 7.089
_cell_angle_alpha 107.68
_cell_angle_beta 90.00
_cell_angle_gamma 90.00
loop_
_space_group_symop_operation_xyz
'x,y,z'
loop_
_atom_site_label
_atom_site_type_symbol
_atom_site_fract_x
_atom_site_fract_y
_atom_site_fract_z
Ac1 Ac 0.000 0.931 0.862
Si1 Si 0.500 0.505 0.010
Si2 Si 0.500 0.310 0.621
Zn1 Zn 0.500 0.108 0.215
Ac2 Ac 0.000 0.688 0.377
# N(E_F)   0.613 states/eV per atom
# Energy   -22.35 eV for the cell shown
# Density   7.44 g cm⁻³
# Space group   Amm2 (38)
# ΔE_f (raw)   -0.40 eV/atom
# Magnetization   0.000 μB/cell

# AcZnSi | Alexandria via LeMat-Bulk | PBE-GGA | optimized geometry
data_AcZnSi
_space_group_name_H-M_alt 'P 1'
_space_group_IT_number 1
_cell_length_a 4.812
_cell_length_b 4.812
_cell_length_c 4.812
_cell_angle_alpha 60.00
_cell_angle_beta 60.00
_cell_angle_gamma 60.00
loop_
_space_group_symop_operation_xyz
'x,y,z'
loop_
_atom_site_label
_atom_site_type_symbol
_atom_site_fract_x
_atom_site_fract_y
_atom_site_fract_z
Ac1 Ac 0.500 0.500 0.500
Zn1 Zn 0.250 0.250 0.250
Si1 Si 0.000 0.000 0.000
# N(E_F)   0.667 states/eV per atom
# Energy   -11.28 eV for the cell shown
# Density   6.76 g cm⁻³
# Space group   F-43m (216)
# ΔE_f (raw)   -0.16 eV/atom
# Magnetization   0.000 μB/cell

# Ac2ZnSi2 | Alexandria via LeMat-Bulk | PBE-GGA | optimized geometry
data_Ac2ZnSi2
_space_group_name_H-M_alt 'P 1'
_space_group_IT_number 1
_cell_length_a 4.361
_cell_length_b 6.233
_cell_length_c 10.792
_cell_angle_alpha 76.39
_cell_angle_beta 78.34
_cell_angle_gamma 69.52
loop_
_space_group_symop_operation_xyz
'x,y,z'
loop_
_atom_site_label
_atom_site_type_symbol
_atom_site_fract_x
_atom_site_fract_y
_atom_site_fract_z
Si1 Si 0.037 0.338 0.588
Ac1 Ac 0.095 0.720 0.091
Ac2 Ac 0.905 0.280 0.909
Ac3 Ac 0.300 0.757 0.644
Si2 Si 0.963 0.662 0.412
Ac4 Ac 0.700 0.243 0.356
Zn1 Zn 0.574 0.174 0.679
Si3 Si 0.353 0.154 0.140
Zn2 Zn 0.426 0.826 0.321
Si4 Si 0.647 0.846 0.860
# N(E_F)   0.558 states/eV per atom
# Energy   -46.08 eV for the cell shown
# Density   7.22 g cm⁻³
# Space group   C2/m (12)
# ΔE_f (raw)   -0.54 eV/atom
# Magnetization   0.000 μB/cell

# Ac4ZnSi2 | Alexandria via LeMat-Bulk | PBE-GGA | optimized geometry
data_Ac4ZnSi2
_space_group_name_H-M_alt 'P 1'
_space_group_IT_number 1
_cell_length_a 8.841
_cell_length_b 8.841
_cell_length_c 8.841
_cell_angle_alpha 119.67
_cell_angle_beta 106.69
_cell_angle_gamma 102.58
loop_
_space_group_symop_operation_xyz
'x,y,z'
loop_
_atom_site_label
_atom_site_type_symbol
_atom_site_fract_x
_atom_site_fract_y
_atom_site_fract_z
Si1 Si 0.625 0.374 0.249
Zn1 Zn 0.160 0.660 0.500
Ac1 Ac 0.905 0.612 0.707
Si2 Si 0.625 0.375 0.750
Si3 Si 0.625 0.875 0.250
Ac2 Ac 0.796 0.095 0.701
Ac3 Ac 0.344 0.138 0.793
Zn2 Zn 0.090 0.090 0.000
Ac4 Ac 0.345 0.551 0.207
Ac5 Ac 0.856 0.655 0.200
Si4 Si 0.125 0.376 0.751
Ac6 Ac 0.394 0.095 0.299
Ac7 Ac 0.454 0.655 0.800
Ac8 Ac 0.906 0.199 0.293
# N(E_F)   1.003 states/eV per atom
# Energy   -60.64 eV for the cell shown
# Density   6.59 g cm⁻³
# Space group   Imma (74)
# ΔE_f (raw)   -0.25 eV/atom
# Magnetization   0.001 μB/cell

Question: Number 10 is which compound?
Answer: Ac4ZnSi2